Computed, not measured: an optimized crystal structure of SeSI at the PBE level of DFT.

Lattice parameters (Å, degrees): 4.9139 5.8200 16.3479 83.44 87.45 88.58
Closest atoms and distances in Å follow each position.
Sites, in units of the cell vectors:
1 Se 0.1371 0.2043 0.0538  2 Se 2.32-2.52
2 Se 0.1415 0.7693 0.0577  2 Se 2.32-2.52
3 Se 0.8585 0.2307 0.9423  2 Se 2.32-2.52
4 Se 0.8629 0.7957 0.9462  2 Se 2.32-2.52
5 S 0.0804 0.8787 0.5510  1 S 1.97
6 S 0.1186 0.4087 0.4536  1 S 1.97
7 S 0.8814 0.5913 0.5464  1 S 1.97
8 S 0.9196 0.1213 0.4490  1 S 1.97
9 I 0.4088 0.6460 0.7676  2 I 2.97
10 I 0.4705 0.8555 0.2349  2 I 2.97
11 I 0.5295 0.1445 0.7651  2 I 2.97
12 I 0.5912 0.3540 0.2324  2 I 2.97

Calculated values
- SG = P-1, No. 2
- electronic total energy (eV for the cell shown) = -35.7
- calculated volume (A^3/atom) = 38.66

***

Computed, not measured: an optimized crystal structure of SeSI at the PBE level of DFT.

Lattice parameters (Å, degrees): 3.1507 4.0102 8.1286 76.74 89.66 90.00
Closest atoms and distances in Å follow each position.
Sites, in units of the cell vectors:
1 Se 0.0000 0.0000 0.0000  1 S 2.07
2 S 0.9973 0.5357 0.1758  1 Se 2.07
3 I 0.0058 0.7416 0.6399  2 I 3.15, 1 Se 3.32

Calculated values
- SG = P1, No. 1
- electronic total energy (eV for the cell shown) = -8.7
- calculated volume (A^3/atom) = 33.32